VASP calculation (PBE) on HoScGa2Pd2 after structural relaxation.

Computed properties:
- Fermi-level density of states: 2.76 states/eV per cell
- Energy of formation: -864 meV per atom
- Energy: -32.53 eV for the cell shown
- Calculated volume: 112.0 Å³/cell

Unit cell a=4.4578 b=4.4578 c=6.5085 alpha=90.00 beta=90.00 gamma=120.00
Space group P-3m1 (No. 164)
Inequivalent atoms, fractional coordinates:
Ho  0.0000  0.0000  0.0000 [1 per cell]
Sc  0.0000  0.0000  0.5000 [1 per cell]
Ga  0.3333  0.6667  0.7216 [2 per cell]
Pd  0.3333  0.6667  0.2753 [2 per cell]